LiBi2Au | PBE | optimized geometry

Lattice parameters (Å, degrees): 3.854 3.854 6.582 90.00 90.00 90.00
Sites, in units of the cell vectors:
Li1 0.000 0.000 0.000
Bi1 0.500 0.500 0.258
Bi2 0.500 0.500 0.742
Au1 0.000 0.000 0.500

Energy relative to the lowest polymorph listed for this composition in kJ/mol of atoms: 8.7
Total DFT energy (no corrections) in eV/cell: -13.42
Energy of formation in meV per atom: -115
ρ in g/cm3: 10.6
SG: P4/mmm, No. 123